[1]
K2HO: optimized geometry, PBE.

a = 4.333 Å, b = 5.293 Å, c = 7.200 Å
α = 109.64°, β = 90.00°, γ = 90.00°
Each line ends with the local moment (μB).
Fractional coordinates of all 8 atoms:
K1 0.750 0.249 0.447  0.00
K2 0.250 0.751 0.553  0.00
K3 0.250 0.737 0.070  0.00
K4 0.750 0.263 0.930  0.00
H1 0.250 0.300 0.199  0.14
H2 0.750 0.700 0.801  0.14
O1 0.750 0.677 0.291  0.53
O2 0.250 0.323 0.709  0.53

## Properties
Mass density   2033 kg/m3
Size of the total moment   0.25 μB per atom
Relative energy among the computed polymorphs   0.0 meV/atom



[2]
Ba2PaHgTe5: optimized geometry, PBE.

a = 4.618 Å, b = 10.442 Å, c = 14.287 Å
α = 90.00°, β = 90.00°, γ = 102.78°
Each line ends with the local moment (μB).
Fractional coordinates of all 18 atoms:
Ba1 0.874 0.748 0.818  0.00
Ba2 0.116 0.232 0.690  0.00
Ba3 0.126 0.252 0.318  0.00
Ba4 0.884 0.768 0.190  0.00
Pa1 0.797 0.594 0.515  1.01
Pa2 0.203 0.406 0.015  1.01
Hg1 0.551 0.101 0.943  0.00
Hg2 0.449 0.899 0.443  0.00
Te1 0.352 0.705 0.007  -0.02
Te2 0.696 0.393 0.866  -0.02
Te3 0.497 0.994 0.765  0.00
Te4 0.292 0.583 0.660  -0.03
Te5 0.947 0.893 0.561  -0.02
Te6 0.648 0.295 0.507  -0.02
Te7 0.304 0.607 0.366  -0.02
Te8 0.503 0.006 0.265  0.00
Te9 0.708 0.417 0.160  -0.03
Te10 0.053 0.107 0.061  -0.02

## Properties
Mass density   6644 kg/m3
Size of the total moment   0.11 μB per atom
Raw formation energy   -1.112 eV/atom



[3]
HIrBr4: optimized geometry, PBE.

a = 6.554 Å, b = 6.070 Å, c = 9.492 Å
α = 71.35°, β = 87.92°, γ = 83.49°
Fractional coordinates of all 12 atoms:
H1 0.250 0.357 0.786
H2 0.750 0.643 0.214
Ir1 0.750 0.051 0.399
Ir2 0.250 0.949 0.601
Br1 0.382 0.087 0.802
Br2 0.118 0.611 0.802
Br3 0.403 0.272 0.405
Br4 0.597 0.728 0.595
Br5 0.903 0.177 0.595
Br6 0.882 0.389 0.198
Br7 0.097 0.823 0.405
Br8 0.618 0.913 0.198

## Properties
Mass density   4791 kg/m3
Final energy   -3.3803 eV/atom
Size of the total moment   0.00 μB per atom



[4]
CdNiBiMo2: optimized geometry, PBE.

a = 5.225 Å, b = 5.366 Å, c = 5.225 Å
α = 90.00°, β = 90.00°, γ = 90.00°
Each line ends with the local moment (μB).
Fractional coordinates of all 5 atoms:
Ni1 0.500 0.500 0.500  0.88
Mo1 0.000 0.000 0.500  2.66
Mo2 0.500 0.000 0.000  2.48
Bi1 0.000 0.000 0.000  -0.06
Cd1 0.000 0.500 0.000  0.00

## Properties
Mass density   6483 kg/m3
Final energy   -4.1164 eV/atom
Size of the total moment   1.36 μB per atom



[5]
Sm3Y6Ho2Zr: optimized geometry, PBE.

a = 6.135 Å, b = 6.135 Å, c = 11.707 Å
α = 94.99°, β = 94.99°, γ = 119.93°
Fractional coordinates of all 12 atoms:
Sm1 0.166 0.834 0.500
Sm2 0.834 0.166 0.500
Sm3 0.500 0.500 0.500
Y1 0.919 0.592 0.757
Y2 0.754 0.754 0.242
Y3 0.081 0.408 0.243
Y4 0.592 0.919 0.757
Y5 0.246 0.246 0.758
Y6 0.408 0.081 0.243
Ho1 0.333 0.667 0.000
Ho2 0.667 0.333 0.000
Zr1 0.000 0.000 0.000

## Properties
Mass density   6207 kg/m3
Final energy   -5.8395 eV/atom
Size of the total moment   0.00 μB per atom



[6]
SmGdSn: optimized geometry, PBE.

a = 3.319 Å, b = 5.355 Å, c = 5.355 Å
α = 120.00°, β = 90.00°, γ = 90.00°
Each line ends with the local moment (μB).
Fractional coordinates of all 3 atoms:
Gd1 0.170 0.333 0.667  7.31
Sn1 0.668 0.667 0.333  -0.05
Sm1 0.162 0.000 0.000  0.17

## Properties
Mass density   8591 kg/m3
Size of the total moment   2.60 μB per atom
Relative energy among the computed polymorphs   276.6 meV/atom



[7]
LaRhN2O: optimized geometry, PBE.

a = 4.369 Å, b = 4.369 Å, c = 4.489 Å
α = 90.00°, β = 90.00°, γ = 90.00°
Each line ends with the local moment (μB).
Fractional coordinates of all 5 atoms:
N1 0.000 0.500 0.000  0.44
N2 0.500 0.000 0.000  0.44
Rh1 0.500 0.500 0.500  1.98
O1 0.000 0.000 0.500  0.49
La1 0.000 0.000 0.000  0.04

## Properties
Mass density   5539 kg/m3
Size of the total moment   0.77 μB per atom
Raw formation energy   1.127 eV/atom



[8]
Hf2TaF: optimized geometry, PBE.

a = 4.720 Å, b = 4.720 Å, c = 4.720 Å
α = 60.00°, β = 60.00°, γ = 60.00°
Fractional coordinates of all 4 atoms:
F1 0.000 0.000 0.000
Hf1 0.250 0.250 0.250
Hf2 0.750 0.750 0.750
Ta1 0.500 0.500 0.500

## Properties
Mass density   12440 kg/m3
Size of the total moment   0.00 μB per atom
Relative energy among the computed polymorphs   459.3 meV/atom
Raw formation energy   0.038 eV/atom